DFT (PBE) results for a geometry-optimized AcP2AuO8 structure.

abc: 4.894 4.894 8.049
angles: 72.30 72.30 60.00
Site moments in Bohr magnetons follow the coordinates.
Fractional coordinates of all 12 atoms:
Ac 0.000 0.000 0.000  0.01
O 0.537 0.230 0.305  0.14
O 0.463 0.072 0.695  0.14
O 0.770 0.463 0.695  0.14
O 0.680 0.680 0.959  0.05
O 0.072 0.770 0.695  0.14
O 0.928 0.537 0.305  0.14
O 0.320 0.320 0.041  0.05
O 0.230 0.928 0.305  0.14
Au 0.500 0.500 0.500  0.85
P 0.749 0.749 0.752  0.00
P 0.251 0.251 0.248  0.00

- Crystal system: trigonal
- Final energy: -6.77 eV/atom
- Calculated density: 6.52 Mg/m³
- DOS(E_F): 0.112 states/eV per atom
- Size of the total moment: 2.02 μB per cell